(1)
Material: TmScRe
Method: DFT, PBE
State: optimized geometry

Cell: 6.0256 6.2969 8.1918 Å, 90.00 90.00 118.58°
Atoms (fractional coordinates):
1 Re 0.5880 0.1761 0.5875
2 Re 0.9120 0.8239 0.0875
3 Re 0.4120 0.8239 0.4125
4 Re 0.0880 0.1761 0.9125
5 Sc 0.3248 0.1496 0.2500
6 Sc 0.1752 0.8504 0.7500
7 Sc 0.6752 0.8504 0.7500
8 Sc 0.8248 0.1496 0.2500
9 Tm 0.8217 0.6433 0.4139
10 Tm 0.6783 0.3567 0.9139
11 Tm 0.1783 0.3567 0.5861
12 Tm 0.3217 0.6433 0.0861

Output
Total magnetic moment = 0.00 μB per atom
Space group = Cmce, No. 64
Calculated volume = 272.9 Å³ per cell
Polymorph energy (0 for the lowest one) = 0.080 eV per atom
ΔE_f = 83 meV per atom

***

(2)
Material: Rb3CuPd2Br9
Method: DFT, PBE
State: optimized geometry

Cell: 7.4374 7.4374 9.1043 Å, 90.00 90.00 120.00°
Atoms (fractional coordinates):
1 Rb 0.3333 0.6667 0.6647
2 Rb 0.0000 0.0000 0.0000
3 Rb 0.6667 0.3333 0.3353
4 Cu 0.0000 0.0000 0.5000
5 Pd 0.3333 0.6667 0.1686
6 Pd 0.6667 0.3333 0.8314
7 Br 0.8343 0.1657 0.6659
8 Br 0.8343 0.6686 0.6659
9 Br 0.3314 0.1657 0.6659
10 Br 0.6686 0.8343 0.3341
11 Br 0.1657 0.3314 0.3341
12 Br 0.1657 0.8343 0.3341
13 Br 0.5000 0.0000 0.0000
14 Br 0.0000 0.5000 0.0000
15 Br 0.5000 0.5000 0.0000

Output
Total magnetic moment = 0.00 μB per atom
Formation energy from raw total energies = -13.22 eV/f.u.
Space group = P-3m1, No. 164
Calculated volume = 436.1 Å³ per cell

***

(3)
Material: YZnAg4
Method: DFT, PBE
State: optimized geometry

Cell: 5.5312 5.5312 5.5312 Å, 60.00 60.00 60.00°
Atoms (fractional coordinates):
1 Ag 0.1237 0.6254 0.6254
2 Ag 0.6254 0.6254 0.6254
3 Ag 0.6254 0.1237 0.6254
4 Ag 0.6254 0.6254 0.1237
5 Y 0.2500 0.2500 0.2500
6 Zn 0.0000 0.0000 0.0000

Output
Total magnetic moment = 0.00 μB per atom
Space group = F-43m, No. 216
Calculated volume = 119.7 Å³ per cell
Polymorph energy (0 for the lowest one) = 0.032 eV per atom
ΔE_f = -114 meV per atom

***

(4)
Material: Pm4PtO7
Method: DFT, PBE
State: optimized geometry

Cell: 4.0183 6.8324 7.0708 Å, 83.76 73.49 72.90°
Atoms (fractional coordinates):
1 Pm 0.5880 0.2220 0.6020
2 Pm 0.4120 0.7780 0.3980
3 Pm 0.7501 0.6612 0.8386
4 Pm 0.2499 0.3388 0.1614
5 Pt 0.0000 0.0000 0.0000
6 O 0.7978 0.8515 0.5528
7 O 0.2022 0.1485 0.4472
8 O 0.0937 0.7036 0.1090
9 O 0.9063 0.2964 0.8910
10 O 0.3684 0.5710 0.6923
11 O 0.5000 0.0000 0.0000
12 O 0.6316 0.4290 0.3077

Output
Total magnetic moment = 0.00 μB per atom
Formation energy from raw total energies = -34.45 eV/f.u.
Space group = C2/m, No. 12
Calculated volume = 177.8 Å³ per cell

***

> Look up the total magnetic moment of the fourth one.

0.00 μB per atom